Entry 1:
Here is a relaxed structure of Cu2HPdAu from Alexandria. Energies are from PBE.

crystal system = tetragonal
N(E_F) = 1.3 states/eV/f.u.
final energy = -19.6 eV/cell
offset from the most stable computed form = 0.146 eV per atom
calculated density = 12.20 Mg/m³

Unit cell a=3.928 b=3.928 c=3.807 alpha=90.00 beta=90.00 gamma=90.00
Sites, in units of the cell vectors:
H: 0.000 0.000 0.000
Au: 0.000 0.000 0.500
Cu: 0.000 0.500 0.000
Cu: 0.500 0.000 0.000
Pd: 0.500 0.500 0.500


Entry 2:
Here is a relaxed structure of Er3Co2P3 from Alexandria. Energies are from PBE.

crystal system = orthorhombic
E_form = -843 kJ/mol of formula units
N(E_F) = 5.7 states/eV/f.u.
final energy = -105.7 eV/cell
calculated density = 8.81 Mg/m³

Unit cell a=3.938 b=5.450 c=13.428 alpha=90.00 beta=90.00 gamma=111.18
Sites, in units of the cell vectors:
Er: 0.922 0.845 0.393
Er: 0.078 0.155 0.893
Er: 0.922 0.845 0.107
Er: 0.078 0.155 0.607
Er: 0.638 0.276 0.250
Er: 0.362 0.724 0.750
Co: 0.781 0.561 0.902
Co: 0.219 0.439 0.402
Co: 0.781 0.561 0.598
Co: 0.219 0.439 0.098
P: 0.638 0.276 0.455
P: 0.362 0.724 0.955
P: 0.638 0.276 0.045
P: 0.362 0.724 0.545
P: 0.340 0.679 0.250
P: 0.660 0.321 0.750